No. 1
# LaNd12Tm6

A geometry-optimized LaNd12Tm6 structure (PBE, Alexandria).

```
data_LaNd12Tm6
_chemical_formula_sum 'La3 Nd36 Tm18'
_cell_length_a 12.1403
_cell_length_b 12.1403
_cell_length_c 15.3612
_cell_angle_alpha 90.00
_cell_angle_beta 90.00
_cell_angle_gamma 120.00
_space_group_name_H-M_alt 'R -3'
_space_group_IT_number 148
_space_group_name_Hall '-R 3'
loop_
_atom_site_label
_atom_site_fract_x
_atom_site_fract_y
_atom_site_fract_z
_atom_site_occupancy
La1 0.0000 0.0000 0.0000 1
Nd1 0.0035 0.1755 0.1922 1
Nd2 0.0470 0.1980 0.4163 1
Tm1 0.0142 0.5859 0.6866 1
```

No. 2
# BaMnSb3

A geometry-optimized BaMnSb3 structure (PBE, Alexandria).

```
data_BaMnSb3
_chemical_formula_sum 'Ba1 Mn1 Sb3'
_cell_length_a 6.196
_cell_length_b 6.196
_cell_length_c 6.196
_cell_angle_alpha 90.00
_cell_angle_beta 90.00
_cell_angle_gamma 90.00
_space_group_name_H-M_alt 'P m -3 m'
_space_group_IT_number 221
_space_group_name_Hall '-P 4 2 3'
loop_
_atom_site_label
_atom_site_fract_x
_atom_site_fract_y
_atom_site_fract_z
_atom_site_occupancy
Ba1 0.000 0.000 0.000 1
Mn1 0.500 0.500 0.500 1
Sb1 0.000 0.000 0.500 1
```

Computed properties:
* formation energy from raw total energies: 6.44 eV/f.u.

No. 3
# ZrV2Pt

A geometry-optimized ZrV2Pt structure (PBE, Alexandria).

```
data_ZrV2Pt
_chemical_formula_sum 'Zr4 V8 Pt4'
_cell_length_a 6.301
_cell_length_b 6.301
_cell_length_c 6.301
_cell_angle_alpha 90.00
_cell_angle_beta 90.00
_cell_angle_gamma 90.00
_space_group_name_H-M_alt 'F m -3 m'
_space_group_IT_number 225
_space_group_name_Hall '-F 4 2 3'
loop_
_atom_site_label
_atom_site_fract_x
_atom_site_fract_y
_atom_site_fract_z
_atom_site_occupancy
Zr1 0.000 0.000 0.000 1
V1 0.250 0.250 0.250 1
Pt1 0.000 0.000 0.500 1
```

Number 1: raw total energy -86.52 eV/f.u., polymorph energy (0 for the lowest one) 0 meV per atom. Number 2: raw total energy -17.02 eV/f.u., polymorph energy (0 for the lowest one) 1328 meV per atom. Number 3: raw total energy -33.63 eV/f.u., polymorph energy (0 for the lowest one) 0 meV per atom.